# 1
# MgMo2Pt2 (PBE-GGA, relaxed)
data_MgMo2Pt2
_cell_length_a 4.006
_cell_length_b 4.006
_cell_length_c 11.508
_cell_angle_alpha 90.00
_cell_angle_beta 90.00
_cell_angle_gamma 90.00
_symmetry_space_group_name_H-M 'I 4/m m m'
_symmetry_Int_Tables_number 139
_symmetry_space_group_name_Hall '-I 4 2'
loop_
_atom_site_label
_atom_site_type_symbol
_atom_site_fract_x
_atom_site_fract_y
_atom_site_fract_z
_atom_site_occupancy
Mg1 Mg 0.000 0.000 0.000 1
Mo1 Mo 0.000 0.000 0.404 1
Pt1 Pt 0.000 0.500 0.250 1
# Energy of formation ... 0.210 eV/atom
# Calculated volume ... 18.468 A^3/atom
# DOS(E_F) ... 8.16 states/eV/cell
# DFT total energy ... -68.58 eV per cell
# Total magnetization ... 0.00 Bohr magnetons per cell

# 2
# MgMo2Pt2 (PBE-GGA, relaxed)
data_MgMo2Pt2
_cell_length_a 7.917
_cell_length_b 7.917
_cell_length_c 2.753
_cell_angle_alpha 90.00
_cell_angle_beta 90.00
_cell_angle_gamma 90.00
_symmetry_space_group_name_H-M 'P 4/m b m'
_symmetry_Int_Tables_number 127
_symmetry_space_group_name_Hall '-P 4 2ab'
loop_
_atom_site_label
_atom_site_type_symbol
_atom_site_fract_x
_atom_site_fract_y
_atom_site_fract_z
_atom_site_occupancy
Mg1 Mg 0.000 0.000 0.000 1
Mo1 Mo 0.117 0.383 0.000 1
Pt1 Pt 0.174 0.674 0.500 1
# Energy of formation ... -0.097 eV/atom
# Calculated volume ... 17.252 A^3/atom
# DOS(E_F) ... 7.64 states/eV/cell
# DFT total energy ... -71.65 eV per cell
# Total magnetization ... 0.00 Bohr magnetons per cell

# 3
# MgMoPt2 (PBE-GGA, relaxed)
data_MgMoPt2
_cell_length_a 3.930
_cell_length_b 3.930
_cell_length_c 8.141
_cell_angle_alpha 90.00
_cell_angle_beta 90.00
_cell_angle_gamma 90.00
_symmetry_space_group_name_H-M 'I -4 m 2'
_symmetry_Int_Tables_number 119
_symmetry_space_group_name_Hall 'I -4 -2'
loop_
_atom_site_label
_atom_site_type_symbol
_atom_site_fract_x
_atom_site_fract_y
_atom_site_fract_z
_atom_site_occupancy
Mg1 Mg 0.000 0.000 0.000 1
Mo1 Mo 0.000 0.500 0.750 1
Pt1 Pt 0.000 0.000 0.500 1
Pt2 Pt 0.000 0.500 0.250 1
# Energy of formation ... -0.280 eV/atom
# Calculated volume ... 15.716 A^3/atom
# DOS(E_F) ... 6.85 states/eV/cell
# DFT total energy ... -51.25 eV per cell
# Total magnetization ... 0.01 Bohr magnetons per cell

# 4
# MgMoPt2 (PBE-GGA, relaxed)
data_MgMoPt2
_cell_length_a 3.313
_cell_length_b 3.313
_cell_length_c 5.937
_cell_angle_alpha 90.00
_cell_angle_beta 90.00
_cell_angle_gamma 90.00
_symmetry_space_group_name_H-M 'P 4 m m'
_symmetry_Int_Tables_number 99
loop_
_symmetry_equiv_pos_as_xyz
'x,y,z'
'-y,x,z'
'-x,-y,z'
'y,-x,z'
'-x,y,z'
'y,x,z'
'x,-y,z'
'-y,-x,z'
loop_
_atom_site_label
_atom_site_type_symbol
_atom_site_fract_x
_atom_site_fract_y
_atom_site_fract_z
_atom_site_occupancy
Mg1 Mg 0.000 0.000 0.000 1
Mo1 Mo 0.500 0.500 0.299 1
Pt1 Pt 0.000 0.000 0.504 1
Pt2 Pt 0.500 0.500 0.779 1
# Energy of formation ... -0.171 eV/atom
# Calculated volume ... 16.286 A^3/atom
# DOS(E_F) ... 2.47 states/eV/cell
# DFT total energy ... -25.19 eV per cell
# Total magnetization ... 0.00 Bohr magnetons per cell

# 5
# MgMoPt2 (PBE-GGA, relaxed)
data_MgMoPt2
_cell_length_a 2.780
_cell_length_b 4.253
_cell_length_c 11.733
_cell_angle_alpha 90.00
_cell_angle_beta 90.00
_cell_angle_gamma 90.00
_symmetry_space_group_name_H-M 'I m m 2'
_symmetry_Int_Tables_number 44
loop_
_symmetry_equiv_pos_as_xyz
'x,y,z'
'-x,-y,z'
'-x,y,z'
'x,-y,z'
'x+1/2,y+1/2,z+1/2'
'-x+1/2,-y+1/2,z+1/2'
'-x+1/2,y+1/2,z+1/2'
'x+1/2,-y+1/2,z+1/2'
loop_
_atom_site_label
_atom_site_type_symbol
_atom_site_fract_x
_atom_site_fract_y
_atom_site_fract_z
_atom_site_occupancy
Mg1 Mg 0.000 0.000 0.000 1
Mo1 Mo 0.000 0.500 0.737 1
Pt1 Pt 0.000 0.000 0.427 1
Pt2 Pt 0.000 0.500 0.159 1
# Energy of formation ... -0.311 eV/atom
# Calculated volume ... 17.345 A^3/atom
# DOS(E_F) ... 3.52 states/eV/cell
# DFT total energy ... -51.51 eV per cell
# Total magnetization ... 0.00 Bohr magnetons per cell

# 6
# Mg3MoPt12 (PBE-GGA, relaxed)
data_Mg3MoPt12
_cell_length_a 3.956
_cell_length_b 3.956
_cell_length_c 15.879
_cell_angle_alpha 90.00
_cell_angle_beta 90.00
_cell_angle_gamma 90.00
_symmetry_space_group_name_H-M 'P 4/m m m'
_symmetry_Int_Tables_number 123
_symmetry_space_group_name_Hall '-P 4 2'
loop_
_atom_site_label
_atom_site_type_symbol
_atom_site_fract_x
_atom_site_fract_y
_atom_site_fract_z
_atom_site_occupancy
Mg1 Mg 0.000 0.000 0.000 1
Mg2 Mg 0.000 0.000 0.247 1
Mo1 Mo 0.000 0.000 0.500 1
Pt1 Pt 0.000 0.500 0.125 1
Pt2 Pt 0.000 0.500 0.378 1
Pt3 Pt 0.500 0.500 0.000 1
Pt4 Pt 0.500 0.500 0.251 1
Pt5 Pt 0.500 0.500 0.500 1
# Energy of formation ... -0.537 eV/atom
# Calculated volume ... 15.535 A^3/atom
# DOS(E_F) ... 14.31 states/eV/cell
# DFT total energy ... -96.70 eV per cell
# Total magnetization ... 0.00 Bohr magnetons per cell

# 7
# MgMoPt2 (PBE-GGA, relaxed)
data_MgMoPt2
_cell_length_a 2.822
_cell_length_b 2.822
_cell_length_c 7.857
_cell_angle_alpha 90.00
_cell_angle_beta 90.00
_cell_angle_gamma 90.00
_symmetry_space_group_name_H-M 'P 4/m m m'
_symmetry_Int_Tables_number 123
_symmetry_space_group_name_Hall '-P 4 2'
loop_
_atom_site_label
_atom_site_type_symbol
_atom_site_fract_x
_atom_site_fract_y
_atom_site_fract_z
_atom_site_occupancy
Mg1 Mg 0.000 0.000 0.000 1
Mo1 Mo 0.000 0.000 0.500 1
Pt1 Pt 0.500 0.500 0.253 1
# Energy of formation ... -0.556 eV/atom
# Calculated volume ... 15.641 A^3/atom
# DOS(E_F) ... 1.55 states/eV/cell
# DFT total energy ... -26.73 eV per cell
# Total magnetization ... 0.00 Bohr magnetons per cell

# 8
# MgMo3Pt (PBE-GGA, relaxed)
data_MgMo3Pt
_cell_length_a 4.818
_cell_length_b 4.818
_cell_length_c 4.818
_cell_angle_alpha 90.00
_cell_angle_beta 90.00
_cell_angle_gamma 90.00
_symmetry_space_group_name_H-M 'P m -3 m'
_symmetry_Int_Tables_number 221
_symmetry_space_group_name_Hall '-P 4 2 3'
loop_
_atom_site_label
_atom_site_type_symbol
_atom_site_fract_x
_atom_site_fract_y
_atom_site_fract_z
_atom_site_occupancy
Mg1 Mg 0.000 0.000 0.000 1
Mo1 Mo 0.000 0.500 0.500 1
Pt1 Pt 0.500 0.500 0.500 1
# Energy of formation ... 1.561 eV/atom
# Calculated volume ... 22.364 A^3/atom
# DOS(E_F) ... 8.08 states/eV/cell
# DFT total energy ... -32.32 eV per cell
# Total magnetization ... 0.00 Bohr magnetons per cell

# 9
# MgMoPt2 (PBE-GGA, relaxed)
data_MgMoPt2
_cell_length_a 5.799
_cell_length_b 7.722
_cell_length_c 2.810
_cell_angle_alpha 90.00
_cell_angle_beta 90.00
_cell_angle_gamma 90.00
_symmetry_space_group_name_H-M 'C m m m'
_symmetry_Int_Tables_number 65
_symmetry_space_group_name_Hall '-C 2 2'
loop_
_atom_site_label
_atom_site_type_symbol
_atom_site_fract_x
_atom_site_fract_y
_atom_site_fract_z
_atom_site_occupancy
Mg1 Mg 0.000 0.000 0.000 1
Mo1 Mo 0.000 0.500 0.000 1
Pt1 Pt 0.250 0.250 0.500 1
# Energy of formation ... -0.429 eV/atom
# Calculated volume ... 15.730 A^3/atom
# DOS(E_F) ... 6.62 states/eV/cell
# DFT total energy ... -52.45 eV per cell
# Total magnetization ... 1.14 Bohr magnetons per cell

# 10
# MgMoPt2 (PBE-GGA, relaxed)
data_MgMoPt2
_cell_length_a 2.799
_cell_length_b 2.799
_cell_length_c 8.198
_cell_angle_alpha 90.00
_cell_angle_beta 90.00
_cell_angle_gamma 90.00
_symmetry_space_group_name_H-M 'P 4 m m'
_symmetry_Int_Tables_number 99
loop_
_symmetry_equiv_pos_as_xyz
'x,y,z'
'-y,x,z'
'-x,-y,z'
'y,-x,z'
'-x,y,z'
'y,x,z'
'x,-y,z'
'-y,-x,z'
loop_
_atom_site_label
_atom_site_type_symbol
_atom_site_fract_x
_atom_site_fract_y
_atom_site_fract_z
_atom_site_occupancy
Mg1 Mg 0.000 0.000 0.000 1
Mo1 Mo 0.500 0.500 0.279 1
Pt1 Pt 0.000 0.000 0.511 1
Pt2 Pt 0.500 0.500 0.769 1
# Energy of formation ... -0.223 eV/atom
# Calculated volume ... 16.057 A^3/atom
# DOS(E_F) ... 3.44 states/eV/cell
# DFT total energy ... -25.40 eV per cell
# Total magnetization ... 0.00 Bohr magnetons per cell

# 11
# MgMoPt2 (PBE-GGA, relaxed)
data_MgMoPt2
_cell_length_a 2.774
_cell_length_b 4.633
_cell_length_c 4.901
_cell_angle_alpha 90.00
_cell_angle_beta 90.06
_cell_angle_gamma 90.00
_symmetry_space_group_name_H-M 'P 1 m 1'
_symmetry_Int_Tables_number 6
loop_
_symmetry_equiv_pos_as_xyz
'x,y,z'
'x,-y,z'
loop_
_atom_site_label
_atom_site_type_symbol
_atom_site_fract_x
_atom_site_fract_y
_atom_site_fract_z
_atom_site_occupancy
Mg1 Mg 0.000 0.000 0.000 1
Mo1 Mo 0.997 0.500 0.384 1
Pt1 Pt 0.498 0.000 0.514 1
Pt2 Pt 0.499 0.500 0.896 1
# Energy of formation ... -0.473 eV/atom
# Calculated volume ... 15.747 A^3/atom
# DOS(E_F) ... 3.34 states/eV/cell
# DFT total energy ... -26.40 eV per cell
# Total magnetization ... 0.00 Bohr magnetons per cell

# 12
# MgMoPt2 (PBE-GGA, relaxed)
data_MgMoPt2
_cell_length_a 4.073
_cell_length_b 4.073
_cell_length_c 3.850
_cell_angle_alpha 90.00
_cell_angle_beta 90.00
_cell_angle_gamma 90.00
_symmetry_space_group_name_H-M 'P 4/m m m'
_symmetry_Int_Tables_number 123
_symmetry_space_group_name_Hall '-P 4 2'
loop_
_atom_site_label
_atom_site_type_symbol
_atom_site_fract_x
_atom_site_fract_y
_atom_site_fract_z
_atom_site_occupancy
Mg1 Mg 0.000 0.000 0.000 1
Mo1 Mo 0.500 0.500 0.000 1
Pt1 Pt 0.000 0.500 0.500 1
# Energy of formation ... -0.206 eV/atom
# Calculated volume ... 15.964 A^3/atom
# DOS(E_F) ... 4.61 states/eV/cell
# DFT total energy ... -25.33 eV per cell
# Total magnetization ... 1.66 Bohr magnetons per cell

# 13
# MgMoPt2 (PBE-GGA, relaxed)
data_MgMoPt2
_cell_length_a 6.312
_cell_length_b 6.312
_cell_length_c 6.312
_cell_angle_alpha 90.00
_cell_angle_beta 90.00
_cell_angle_gamma 90.00
_symmetry_space_group_name_H-M 'F -4 3 m'
_symmetry_Int_Tables_number 216
_symmetry_space_group_name_Hall 'F -4 2 3'
loop_
_atom_site_label
_atom_site_type_symbol
_atom_site_fract_x
_atom_site_fract_y
_atom_site_fract_z
_atom_site_occupancy
Mg1 Mg 0.000 0.000 0.000 1
Mo1 Mo 0.250 0.250 0.750 1
Pt1 Pt 0.000 0.000 0.500 1
Pt2 Pt 0.250 0.250 0.250 1
# Energy of formation ... -0.182 eV/atom
# Calculated volume ... 15.720 A^3/atom
# DOS(E_F) ... 1.81 states/eV/cell
# DFT total energy ... -100.93 eV per cell
# Total magnetization ... 0.00 Bohr magnetons per cell

# 14
# MgMoPt2 (PBE-GGA, relaxed)
data_MgMoPt2
_cell_length_a 9.073
_cell_length_b 2.788
_cell_length_c 5.121
_cell_angle_alpha 90.00
_cell_angle_beta 98.33
_cell_angle_gamma 90.00
_symmetry_space_group_name_H-M 'C 1 2/m 1'
_symmetry_Int_Tables_number 12
loop_
_symmetry_equiv_pos_as_xyz
'x,y,z'
'-x,-y,-z'
'-x,y,-z'
'x,-y,z'
'x+1/2,y+1/2,z'
'-x+1/2,-y+1/2,-z'
'-x+1/2,y+1/2,-z'
'x+1/2,-y+1/2,z'
loop_
_atom_site_label
_atom_site_type_symbol
_atom_site_fract_x
_atom_site_fract_y
_atom_site_fract_z
_atom_site_occupancy
Mg1 Mg 0.000 0.000 0.000 1
Mo1 Mo 0.000 0.500 0.500 1
Pt1 Pt 0.249 0.000 0.742 1
# Energy of formation ... -0.197 eV/atom
# Calculated volume ... 16.023 A^3/atom
# DOS(E_F) ... 7.90 states/eV/cell
# DFT total energy ... -50.59 eV per cell
# Total magnetization ... 0.42 Bohr magnetons per cell